No. 1
## KTbMnS3 (PBE)

Data for a relaxed KTbMnS3 crystal.

Unit cell a=8.749 b=4.084 c=9.510 alpha=90.00 beta=106.57 gamma=90.00
Space group P2_1/m (No. 11)
Unique sites:
K 0.202 0.250 0.226
Tb 0.335 0.750 0.858
Mn 0.087 0.250 0.610
S 0.117 0.250 0.860
S 0.198 0.750 0.538
S 0.459 0.750 0.154

Results
**Total magnetic moment**: 5.006 μB per formula unit
**E_form (uncorrected)**: -1.4072 eV/atom

No. 2
## RhS2BrCl (PBE)

Data for a relaxed RhS2BrCl crystal.

Unit cell a=4.655 b=4.655 c=4.838 alpha=90.00 beta=90.00 gamma=90.00
Space group P4/mmm (No. 123)
Unique sites:
Rh 0.000 0.000 0.000
S 0.000 0.500 0.000
Br 0.500 0.500 0.500
Cl 0.000 0.000 0.500

Results
**Total magnetic moment**: 0.000 μB per formula unit
**E_form (uncorrected)**: 0.3574 eV/atom
**ΔE to the lowest computed polymorph**: 0.0 meV/atom

No. 3
## Rb2HfBr6F (PBE)

Data for a relaxed Rb2HfBr6F crystal.

Unit cell a=7.620 b=7.620 c=11.688 alpha=90.00 beta=90.00 gamma=90.00
Space group I4/mmm (No. 139)
Unique sites:
Rb 0.000 0.500 0.250
Hf 0.000 0.000 0.000
Br 0.000 0.000 0.225
Br 0.243 0.243 0.000
F 0.000 0.000 0.500

Results
**Total magnetic moment**: 1.000 μB per formula unit
**E_form (uncorrected)**: -1.4233 eV/atom

No. 4
## YHf3Zr (PBE)

Data for a relaxed YHf3Zr crystal.

Unit cell a=5.106 b=5.106 c=5.106 alpha=90.00 beta=90.00 gamma=90.00
Space group Pm-3m (No. 221)
Unique sites:
Y 0.000 0.000 0.000
Hf 0.000 0.000 0.500
Zr 0.500 0.500 0.500

Results
**Total magnetic moment**: 0.000 μB per formula unit
**Energy of formation**: 1477 meV per atom
**ΔE to the lowest computed polymorph**: 569.1 meV/atom

The following D(E_F) values (in states/eV per cell) correspond, in order, to the records above: 0.084 6.042 5.760 6.586.